Density functional theory data (SCAN) for a PBEsol-optimized structure of Sc5Ag.

The space group is Amm2 (No. 38) and the conventional cell measures 4.946, 3.312 and 15.952 Å, with angles of 90.00, 90.00 and 90.00 degrees. Symmetry generates all atoms from Sc at (0.000, 0.000, 0.000), Sc at (0.000, 0.000, 0.325), Sc at (0.000, 0.000, 0.667), Sc at (0.500, 0.000, 0.122), Sc at (0.500, 0.000, 0.447) and Ag at (0.500, 0.000, 0.784).

The formation enthalpy at 0 K is -29 meV/atom. The calculated total energy comes out at -17.121 eV per atom. As for the energy above the most stable polymorph in this dataset: 29 meV/atom.